Compound: Mn3MoC
Source: Alexandria
Functional: meta-GGA SCAN
Structure: PBEsol geometry

Properties
Formation energy = 8.5 kJ/mol of atoms
Calculated volume = 10.46 A^3/atom
Total magnetic moment = 0.5 μB/f.u.

Lattice parameters (Å, degrees): 3.739 3.739 3.739 90.00 90.00 90.00
Element x y z (fractional)
1 Mn 0.000 0.000 0.500
2 Mn 0.000 0.500 0.000
3 Mn 0.500 0.000 0.000
4 Mo 0.500 0.500 0.500
5 C 0.000 0.000 0.000